Here is a relaxed BeCdNO2 crystal from Alexandria. Energies are from PBEsol.

Output
- calculated volume (Å³ per cell) = 46.6
- raw formation energy (eV per atom) = -0.119

Structure (POSCAR):
```
BeCdNO2
1.0
-3.402 0.865 0.651
-1.066 -3.181 -1.346
0.254 -1.477 3.289
Be N O Cd
1 1 2 1
Direct
0.000 0.000 0.000
0.500 0.000 0.000
0.000 0.000 0.500
0.000 0.500 0.000
0.500 0.500 0.500
```

***

Here is a relaxed Na2BeZnCd crystal from Alexandria. Energies are from PBEsol.

Output
- calculated volume (Å³ per cell) = 123.3
- formation energy (eV per atom) = 0.50

Structure (POSCAR):
```
Na2BeZnCd
1.0
-2.064 -3.256 -1.914
3.366 0.306 -4.151
3.277 -3.488 2.399
Na Zn Be Cd
2 1 1 1
Direct
0.000 0.000 0.500
0.000 0.500 0.000
0.000 0.000 0.000
0.500 0.000 0.000
0.500 0.500 0.500
```

***

Here is a relaxed BeNb3Cd crystal from Alexandria. Energies are from PBEsol.

Output
- calculated volume (Å³ per cell) = 118.6
- formation energy (eV per atom) = 2.32

Structure (POSCAR):
```
BeNb3Cd
1.0
4.913 0.000 0.000
0.000 4.913 0.000
0.000 0.000 4.913
Be Nb Cd
1 3 1
Direct
0.500 0.500 0.500
0.000 0.500 0.000
0.000 0.000 0.500
0.500 0.000 0.000
0.000 0.000 0.000
```

***

Here is a relaxed BeNbCd3 crystal from Alexandria. Energies are from PBEsol.

Output
- calculated volume (Å³ per cell) = 90.2
- formation energy (eV per atom) = 0.70

Structure (POSCAR):
```
BeNbCd3
1.0
-1.348 1.952 3.806
-2.209 -3.735 1.134
3.663 -1.534 2.085
Be Nb Cd
1 1 3
Direct
0.000 0.000 0.000
0.500 0.500 0.500
0.000 0.500 0.000
0.000 0.000 0.500
0.500 0.000 0.000
```

***

Here is a relaxed BeNb2ZnCd crystal from Alexandria. Energies are from PBEsol.

Output
- calculated volume (Å³ per cell) = 84.2
- formation energy (eV per atom) = 0.60

Structure (POSCAR):
```
BeNb2ZnCd
1.0
-0.321 -4.340 0.004
3.646 -0.272 -2.448
2.442 -0.177 3.656
Be Nb Zn Cd
1 2 1 1
Direct
0.000 0.000 0.000
0.000 0.000 0.500
0.000 0.500 0.000
0.500 0.500 0.500
0.500 0.000 0.000
```

***

Here is a relaxed Be2CdNi crystal from Alexandria. Energies are from PBEsol.

Output
- calculated volume (Å³ per cell) = 45.4
- formation energy (eV per atom) = -0.07

Structure (POSCAR):
```
Be2CdNi
1.0
-2.179 1.747 0.284
-1.763 -2.103 -0.592
-0.319 -1.309 5.596
Ni Be Cd
1 2 1
Direct
0.500 0.500 0.500
0.000 0.000 0.687
0.000 0.000 0.313
0.500 0.500 0.000
```

***

Record-wise calculated total energy values, in eV per cell: -24.8, -7.1, -26.1, -14.9, -25.4, -15.6
Record-wise DOS at the Fermi energy values, in states/eV per cell: 2.56, 2.84, 10.65, 2.58, 3.09, 1.20